(1)
This record from Alexandria via LeMat-Bulk describes AgBr3 at its PBEsol-relaxed geometry. The functional is meta-GGA SCAN.

Lattice parameters (Å, degrees): 4.1697 4.1697 8.3186 75.49 75.49 60.00
Atoms (fractional coordinates):
Br: 0.1071 0.1071 0.6787
Br: 0.0000 0.0000 0.0000
Br: 0.8929 0.8929 0.3213
Ag: 0.5000 0.5000 0.5000

- spin magnetization (μB per cell) = 0.00
- calculated volume (Å³ per atom) = 29.974
- formation energy (no corrections) (meV/atom) = -175


(2)
This record from Alexandria via LeMat-Bulk describes Ag2Hg at its PBEsol-relaxed geometry. The functional is meta-GGA SCAN.

Lattice parameters (Å, degrees): 2.9792 5.5818 6.9497 104.38 90.00 105.48
Atoms (fractional coordinates):
Hg: 0.0499 0.0997 0.6007
Hg: 0.7253 0.4507 0.9515
Ag: 0.3322 0.6645 0.6663
Ag: 0.0012 0.0024 0.0046
Ag: 0.6691 0.3382 0.3344
Ag: 0.3889 0.7779 0.2757

- energy of formation from the pure elements (eV/atom) = 0.0475
- spin magnetization (μB per cell) = 0.00
- calculated volume (Å³ per atom) = 17.936
- density of states at the Fermi level (states/eV/f.u.) = 0.9
- excess energy over the best structure of this formula in the dataset (eV/atom) = 0.016


(3)
This record from Alexandria via LeMat-Bulk describes LaMo at its PBEsol-relaxed geometry. The functional is meta-GGA SCAN.

Lattice parameters (Å, degrees): 2.9986 2.9986 10.9504 90.00 90.00 120.00
Atoms (fractional coordinates):
Mo: 0.6667 0.3333 0.6861
Mo: 0.3333 0.6667 0.1861
La: 0.6667 0.3333 0.9429
La: 0.3333 0.6667 0.4429

- energy of formation from the pure elements (eV/atom) = 1.1078
- spin magnetization (μB per cell) = 0.00
- calculated volume (Å³ per atom) = 21.318
- density of states at the Fermi level (states/eV/f.u.) = 2.9
- excess energy over the best structure of this formula in the dataset (eV/atom) = 0.842